Material: Pm2SmI2N2
Method: DFT, PBE-GGA
State: relaxed

Cell and atoms, written as extended XYZ:
```
7
Lattice="-0.507 4.459 0.916 -1.752 -1.042 4.102 10.031 -1.488 1.350" Properties=species:S:1:pos:R:3 pbc="T T T"
Pm 7.553 0.187 3.274
Pm 0.219 1.742 3.093
N -0.876 -0.521 2.051
N -0.254 2.230 0.458
I 2.935 0.073 1.272
I 4.837 1.857 5.095
Sm 0.000 0.000 0.000
```

energy: -41.6 eV per cell
calculated volume: 29.09 A^3/atom
uncorrected formation energy: -7.64 eV per formula unit